1.
HfP2Br | PBE | optimized geometry

The calculation puts the formation energy without anion corrections at 0.36 eV/atom. The calculation puts the total energy at -21.02 eV/cell. The energy above the most stable polymorph in this dataset comes out at 96.1 meV per atom. The space group is Fm-3m, No. 225.

a = 4.715 Å, b = 4.715 Å, c = 4.715 Å
α = 60.00°, β = 60.00°, γ = 60.00°
Element x y z (fractional)
Hf1 0.000 0.000 0.000
P1 0.250 0.250 0.250
P2 0.750 0.750 0.750
Br1 0.500 0.500 0.500

---

2.
La8Si3NiI4 | PBE | optimized geometry

The calculation puts the formation energy without anion corrections at -0.92 eV/atom. The calculation puts the total energy at -82.32 eV/cell. The space group is R-3m, No. 166.

a = 9.318 Å, b = 9.318 Å, c = 9.318 Å
α = 56.37°, β = 56.37°, γ = 56.37°
Element x y z (fractional)
La1 0.235 0.235 0.235
La2 0.241 0.728 0.728
La3 0.272 0.272 0.759
La4 0.272 0.759 0.272
La5 0.728 0.241 0.728
La6 0.728 0.728 0.241
La7 0.759 0.272 0.272
La8 0.765 0.765 0.765
Si1 0.000 0.000 0.500
Si2 0.000 0.500 0.000
Si3 0.500 0.000 0.000
Ni1 0.500 0.500 0.500
I1 0.000 0.000 0.000
I2 0.000 0.500 0.500
I3 0.500 0.000 0.500
I4 0.500 0.500 0.000